The following is a DFT calculation (PBE) of a relaxed structure of CeSmTlTe.

Cell and atoms, written as POSCAR:
```
CeSmTlTe
1.0
4.489 0.000 0.000
0.000 4.489 0.000
0.000 0.000 6.338
Ce Sm Tl Te
1 1 1 1
Cartesian
0.000 0.000 0.000 Ce
2.245 2.245 3.169 Sm
2.245 2.245 0.000 Tl
0.000 0.000 3.169 Te
```

Computed properties:
formation energy from raw total energies: -0.772 eV per atom
N(E_F): 8.48 states/eV/f.u.



The following is a DFT calculation (PBE) of a relaxed structure of Ce3Sm2TmTe6.

Cell and atoms, written as POSCAR:
```
Ce3Sm2TmTe6
1.0
3.825 -6.635 0.000
3.825 6.635 0.000
-2.551 0.000 7.333
Ce Sm Tm Te
3 2 1 6
Cartesian
0.000 0.000 0.000 Ce
3.825 2.279 0.000 Ce
3.825 -2.279 0.000 Ce
2.550 4.434 3.667 Sm
2.550 -4.434 3.667 Sm
2.550 0.000 3.667 Tm
1.308 2.160 1.905 Te
0.065 0.000 5.467 Te
1.308 -2.160 1.905 Te
3.792 2.160 5.429 Te
5.035 0.000 1.866 Te
3.792 -2.160 5.429 Te
```

Computed properties:
formation energy from raw total energies: -1.351 eV per atom
N(E_F): 23.21 states/eV/f.u.